[1]
DFT (GGA-PBEsol) results for KYRu2 after structural relaxation.

Structure (POSCAR):
```
KYRu2
1.0
-3.844 0.665 0.673
0.534 -1.340 4.373
2.937 6.114 -0.910
K Ru Y
1 2 1
Cartesian
0.993 2.602 3.101 K
0.134 0.603 0.169 Ru
-1.551 2.002 0.803 Ru
-1.604 -0.106 2.588 Y
```

## Properties
The calculation puts the formation enthalpy at 0 K at 0.6323 eV per atom. For the energy above the lowest structure with this stoichiometry, the calculation gives 0.1439 eV per atom. As for the total energy: -6.44 eV per atom. As for the space-group type: Imm2, No. 44.

[2]
DFT (GGA-PBEsol) results for Cs2YAgBr6 after structural relaxation.

Structure (POSCAR):
```
Cs2YAgBr6
1.0
-5.851 -3.870 -3.494
1.081 -3.174 -7.084
0.374 -7.788 -0.789
Cs Y Ag Br
2 1 1 6
Cartesian
-3.298 -11.124 -8.525 Cs
-1.099 -3.708 -2.842 Cs
-2.198 -7.416 -5.683 Y
0.000 0.000 0.000 Ag
-4.015 -5.652 -4.594 Br
-3.478 -7.230 -8.118 Br
-0.381 -9.180 -6.773 Br
-3.830 -9.526 -4.987 Br
-0.567 -5.305 -6.380 Br
-0.919 -7.601 -3.249 Br
```

## Properties
As for the total energy: -3.89 eV per atom. As for the uncorrected formation energy: -36.1 kcal/mol of atoms. As for the space-group type: Fm-3m, No. 225.

[3]
DFT (GGA-PBEsol) results for Mg2NiHg after structural relaxation.

Structure (POSCAR):
```
Mg2NiHg
1.0
-1.399 3.191 -1.016
-2.395 -1.985 -2.938
-3.139 -0.461 2.871
Hg Mg Ni
1 2 1
Cartesian
-3.466 0.372 -0.542 Hg
-1.197 -0.993 -1.469 Mg
-1.569 -0.231 1.435 Mg
-0.699 1.596 -0.508 Ni
```

## Properties
The calculation puts the formation enthalpy at 0 K at -0.1390 eV per atom. For the energy above the lowest structure with this stoichiometry, the calculation gives 0.0106 eV per atom. As for the total energy: -2.68 eV per atom. As for the space-group type: P4/mmm, No. 123.

[4]
DFT (GGA-PBEsol) results for Sb4O5F2 after structural relaxation.

Structure (POSCAR):
```
Sb4O5F2
1.0
7.702 0.000 0.000
0.000 9.078 0.000
0.000 0.000 9.610
Sb O F
16 20 8
Cartesian
1.926 8.996 4.269 Sb
5.777 8.652 0.183 Sb
0.213 6.959 7.732 Sb
3.638 6.959 7.732 Sb
7.489 6.658 2.927 Sb
4.065 6.658 2.927 Sb
1.926 4.964 4.988 Sb
5.777 4.621 9.074 Sb
1.926 4.457 0.536 Sb
5.777 4.113 4.622 Sb
3.638 2.420 6.683 Sb
0.213 2.420 6.683 Sb
7.489 2.119 1.878 Sb
4.065 2.119 1.878 Sb
1.926 0.425 9.427 Sb
5.777 0.082 5.341 Sb
7.201 8.722 8.338 O
4.352 8.722 8.338 O
3.431 7.678 4.529 O
0.420 7.678 4.529 O
1.926 7.503 8.953 O
5.777 6.114 4.147 O
7.282 5.938 9.334 O
4.271 5.938 9.334 O
3.350 4.895 3.533 O
0.501 4.895 3.533 O
7.201 4.183 6.078 O
4.352 4.183 6.078 O
3.431 3.140 0.276 O
0.420 3.140 0.276 O
1.926 2.964 5.463 O
5.777 1.575 0.658 O
7.282 1.399 5.081 O
4.271 1.399 5.081 O
3.350 0.356 1.272 O
0.501 0.356 1.272 O
5.777 9.003 3.326 F
1.926 7.124 2.412 F
5.777 6.492 7.217 F
1.926 4.613 8.131 F
5.777 4.464 1.479 F
1.926 2.586 2.393 F
5.777 1.953 7.198 F
1.926 0.074 6.284 F
```

## Properties
For the energy above the lowest structure with this stoichiometry, the calculation gives 0.0066 eV per atom. As for the total energy: -5.95 eV per atom. As for the uncorrected formation energy: -36.0 kcal/mol of atoms. As for the space-group type: Pnma, No. 62.

[5]
DFT (GGA-PBEsol) results for LaYIr2 after structural relaxation.

Structure (POSCAR):
```
LaYIr2
1.0
-2.434 -1.904 -1.200
2.094 -1.069 -2.551
2.229 -5.446 4.112
Y Ir La
1 2 1
Cartesian
0.945 -4.210 0.181 Y
-0.798 -5.899 1.817 Ir
0.593 -1.451 1.095 Ir
-0.170 -1.486 -1.875 La
```

## Properties
The calculation puts the formation enthalpy at 0 K at -0.6165 eV per atom. For the energy above the lowest structure with this stoichiometry, the calculation gives 0.0000 eV per atom. As for the total energy: -8.57 eV per atom. As for the space-group type: Pmmm, No. 47.

[6]
DFT (GGA-PBEsol) results for Li2CdSe2 after structural relaxation.

Structure (POSCAR):
```
Li2CdSe2
1.0
3.347 0.000 0.000
0.000 7.280 0.000
0.000 0.000 7.280
Li Se Cd
4 4 2
Cartesian
0.000 2.742 6.382 Li
0.000 6.382 4.537 Li
0.000 4.537 0.897 Li
0.000 0.897 2.742 Li
1.673 1.341 4.981 Se
1.673 4.981 5.939 Se
1.673 5.939 2.299 Se
1.673 2.299 1.341 Se
0.000 0.000 0.000 Cd
0.000 3.640 3.640 Cd
```

## Properties
As for the total energy: -3.18 eV per atom. As for the uncorrected formation energy: -14.2 kcal/mol of atoms. As for the space-group type: P4/mbm, No. 127.

[7]
DFT (GGA-PBEsol) results for YMgCd after structural relaxation.

Structure (POSCAR):
```
YMgCd
1.0
-2.195 1.808 -1.749
-1.715 -2.774 -0.714
-1.594 1.310 6.541
Y Mg Cd
1 1 1
Cartesian
-2.417 0.563 3.615 Y
-3.038 -0.231 0.388 Mg
-0.050 0.012 0.074 Cd
```

## Properties
The calculation puts the formation enthalpy at 0 K at -0.2015 eV per atom. As for the total energy: -3.45 eV per atom. As for the space-group type: I4mm, No. 107.

[8]
DFT (GGA-PBEsol) results for K3NaMg after structural relaxation.

Structure (POSCAR):
```
K3NaMg
1.0
6.889 0.000 0.000
0.000 6.889 0.000
0.000 0.000 6.889
Na K Mg
1 3 1
Cartesian
3.444 3.444 3.444 Na
0.000 3.444 0.000 K
0.000 0.000 3.444 K
3.444 0.000 0.000 K
0.000 0.000 0.000 Mg
```

## Properties
The calculation puts the formation enthalpy at 0 K at 0.2691 eV per atom. As for the total energy: -1.03 eV per atom. As for the space-group type: Pm-3m, No. 221.

[9]
DFT (GGA-PBEsol) results for ScCl after structural relaxation.

Structure (POSCAR):
```
ScCl
1.0
-0.820 2.461 2.199
-2.295 -2.365 -0.839
2.845 -5.207 6.890
Sc Cl
2 2
Cartesian
0.015 -4.085 4.578 Sc
-0.286 -1.026 3.672 Sc
-1.295 -1.688 1.406 Cl
1.024 -3.423 6.843 Cl
```

## Properties
As for the total energy: -5.70 eV per atom. As for the uncorrected formation energy: -32.1 kcal/mol of atoms. As for the space-group type: P-3m1, No. 164.

[10]
DFT (GGA-PBEsol) results for Li3BiAu after structural relaxation.

Structure (POSCAR):
```
Li3BiAu
1.0
-2.693 2.197 -3.225
-3.516 0.333 3.163
1.692 4.188 1.441
Au Bi Li
1 1 3
Cartesian
0.000 0.000 0.000 Au
-2.259 3.359 0.689 Bi
-1.758 0.166 1.581 Li
0.846 2.094 0.720 Li
-1.346 1.099 -1.612 Li
```

## Properties
The calculation puts the formation enthalpy at 0 K at -0.2115 eV per atom. As for the total energy: -3.03 eV per atom. As for the space-group type: Pm-3m, No. 221.

[11]
DFT (GGA-PBEsol) results for LaP3H8O7 after structural relaxation.

Structure (POSCAR):
```
LaP3H8O7
1.0
-4.976 4.975 1.104
-2.464 -4.099 -6.330
-1.770 -4.582 7.042
La P H O
2 6 16 14
Cartesian
-7.008 -1.494 1.057 La
-2.202 -2.213 0.759 La
-4.504 0.922 0.271 P
-4.706 -4.629 1.545 P
-2.187 -4.710 5.220 P
-7.023 1.003 -3.405 P
-4.529 -1.810 3.760 P
-4.682 -1.897 -1.944 P
-4.424 1.468 -1.042 H
-4.787 -5.175 2.858 H
-3.862 1.881 1.100 H
-5.349 -5.588 0.716 H
-3.061 -3.649 5.620 H
-6.149 -0.058 -3.804 H
-2.558 -4.976 3.871 H
-6.653 1.269 -2.055 H
-4.271 -1.251 5.046 H
-4.940 -2.456 -3.230 H
-5.122 -3.073 4.056 H
-4.088 -0.634 -2.240 H
-4.340 -5.700 -2.231 H
-4.871 1.993 4.047 H
-3.738 -4.403 -1.467 H
-5.472 0.696 3.283 H
-5.979 0.812 0.662 O
-3.231 -4.519 1.154 O
-3.739 -0.390 0.302 O
-5.472 -3.317 1.514 O
-5.731 0.762 6.340 O
-3.480 -4.469 -4.524 O
-0.745 -1.353 -0.979 O
-8.466 -2.354 2.795 O
-5.565 -0.927 3.076 O
-3.645 -2.780 -1.260 O
-3.188 -2.033 3.069 O
-6.022 -1.674 -1.253 O
-3.767 -5.410 -1.466 O
-5.444 1.703 3.282 O
```

## Properties
As for the total energy: -5.92 eV per atom. As for the space-group type: P-1, No. 2.

Please write out number 2 again, unchanged.
DFT (GGA-PBEsol) results for Cs2YAgBr6 after structural relaxation.

Structure (POSCAR):
```
Cs2YAgBr6
1.0
-5.851 -3.870 -3.494
1.081 -3.174 -7.084
0.374 -7.788 -0.789
Cs Y Ag Br
2 1 1 6
Cartesian
-3.298 -11.124 -8.525 Cs
-1.099 -3.708 -2.842 Cs
-2.198 -7.416 -5.683 Y
0.000 0.000 0.000 Ag
-4.015 -5.652 -4.594 Br
-3.478 -7.230 -8.118 Br
-0.381 -9.180 -6.773 Br
-3.830 -9.526 -4.987 Br
-0.567 -5.305 -6.380 Br
-0.919 -7.601 -3.249 Br
```

## Properties
As for the total energy: -3.89 eV per atom. As for the uncorrected formation energy: -36.1 kcal/mol of atoms. As for the space-group type: Fm-3m, No. 225.